(1)
Material: Ac2Tb5PrSm
Method: DFT, GGA-PBE
State: relaxed

POSCAR file:
```
Ac2Tb5PrSm
1.0
-5.765 -0.450 -0.726
2.785 -7.996 6.226
-1.612 6.344 8.869
Tb Ac Sm Pr
10 4 2 2
Direct
0.604 0.208 0.524 Tb
0.703 0.406 0.205 Tb
0.521 0.043 0.239 Tb
0.297 0.594 0.705 Tb
0.479 0.957 0.739 Tb
0.980 0.959 0.529 Tb
0.396 0.792 0.024 Tb
0.714 0.428 0.803 Tb
0.020 0.041 0.029 Tb
0.286 0.572 0.303 Tb
0.888 0.777 0.231 Ac
0.118 0.236 0.323 Ac
0.112 0.223 0.731 Ac
0.882 0.764 0.823 Ac
0.791 0.582 0.508 Sm
0.209 0.418 0.008 Sm
0.416 0.833 0.461 Pr
0.584 0.167 0.961 Pr
```

Output
Space group: Cmc2_1
E: -4.3886 eV/atom

---

(2)
Material: Cd2MoW
Method: DFT, GGA-PBE
State: relaxed

POSCAR file:
```
Cd2MoW
1.0
4.299 0.000 0.000
0.000 2.830 0.211
0.000 1.707 6.159
W Cd Mo
1 2 1
Direct
0.500 0.701 0.722 W
0.500 0.265 0.251 Cd
0.000 0.987 0.999 Cd
0.000 0.546 0.528 Mo
```

Output
Space group: Pm
ΔE to the lowest computed polymorph: 0.161 eV/atom
E: -5.9516 eV/atom

---

(3)
Material: CaYSi2
Method: DFT, GGA-PBE
State: relaxed

POSCAR file:
```
CaYSi2
1.0
-0.267 7.614 0.291
-3.453 6.536 -1.869
-3.598 6.378 2.122
Si Ca Y
2 1 1
Direct
0.948 0.948 0.948 Si
0.299 0.299 0.299 Si
0.722 0.722 0.722 Ca
0.531 0.531 0.531 Y
```

Output
Space group: R3m
Formation energy from raw total energies: -308 meV/atom
ΔE to the lowest computed polymorph: 0.351 eV/atom
E: -5.1363 eV/atom